Entry 1:
# PrDy8Ho5 | Alexandria | PBE | relaxed
# E_form   246 meV/atom
# Magnetic moment   0.00 μB per formula unit
data_PrDy8Ho5
_chemical_formula_sum 'Pr1 Dy8 Ho5'
_symmetry_space_group_name_H-M 'P 1'
_symmetry_Int_Tables_number 1
_cell_length_a 8.421
_cell_length_b 8.421
_cell_length_c 8.421
_cell_angle_alpha 111.63
_cell_angle_beta 111.63
_cell_angle_gamma 105.24
loop_
_symmetry_equiv_pos_as_xyz
'x,y,z'
loop_
_atom_site_label
_atom_site_fract_x
_atom_site_fract_y
_atom_site_fract_z
Pr1 0.000 0.000 0.000
Dy1 0.090 0.330 0.415
Dy2 0.282 0.176 0.752
Dy3 0.325 0.910 0.240
Dy4 0.424 0.530 0.248
Dy5 0.470 0.718 0.894
Dy6 0.670 0.085 0.760
Dy7 0.824 0.576 0.106
Dy8 0.915 0.675 0.585
Ho1 0.032 0.436 0.822
Ho2 0.250 0.750 0.500
Ho3 0.564 0.386 0.596
Ho4 0.614 0.209 0.178
Ho5 0.791 0.968 0.404

=====

Entry 2:
# PrDy7Ho3 | Alexandria | PBE | relaxed
# E_form   143 meV/atom
# Energy above the most stable polymorph in this dataset   0.000 eV per atom
# Magnetic moment   0.00 μB per formula unit
data_PrDy7Ho3
_chemical_formula_sum 'Pr1 Dy7 Ho3'
_symmetry_space_group_name_H-M 'P 1'
_symmetry_Int_Tables_number 1
_cell_length_a 6.944
_cell_length_b 5.543
_cell_length_c 9.867
_cell_angle_alpha 90.00
_cell_angle_beta 109.50
_cell_angle_gamma 90.00
loop_
_symmetry_equiv_pos_as_xyz
'x,y,z'
loop_
_atom_site_label
_atom_site_fract_x
_atom_site_fract_y
_atom_site_fract_z
Pr1 0.000 0.000 0.000
Dy1 0.000 0.000 0.500
Dy2 0.148 0.500 0.790
Dy3 0.326 0.500 0.143
Dy4 0.426 0.000 0.332
Dy5 0.574 0.000 0.668
Dy6 0.674 0.500 0.857
Dy7 0.852 0.500 0.210
Ho1 0.277 0.500 0.496
Ho2 0.500 0.000 0.000
Ho3 0.723 0.500 0.504

=====

no.,N(E_F) (states/eV/cell)
1,21.77
2,16.56